Computed, not measured: crystalline YInIr2 at its relaxed geometry at the PBE level of DFT.

Cell: 3.0686 3.0686 28.3973 Å, 90.00 90.00 120.00°
Space group R3m (No. 160, hexagonal axes)
Symmetry-distinct sites (fractional):
1 Y 0.0000 0.0000 0.0000
2 In 0.0000 0.0000 0.2333
3 Ir 0.0000 0.0000 0.4902
4 Ir 0.0000 0.0000 0.7498

Output
spin magnetization	0.247	μB per atom
electronic total energy	-77.53	eV per cell
calculated formation energy	0.27	eV/atom

---

Computed, not measured: crystalline CoAg3W at its relaxed geometry at the PBE level of DFT.

Cell: 4.691 4.691 4.691 Å, 90.00 90.00 90.00°
Space group Pm-3m (No. 221)
Symmetry-distinct sites (fractional):
1 Co 0.000 0.000 0.000
2 Ag 0.000 0.000 0.500
3 W 0.500 0.500 0.500

Output
spin magnetization	1.102	μB per atom
electronic total energy	-19.92	eV per cell
energy above the lowest structure with this stoichiometry	0	meV per atom
calculated formation energy	1.74	eV/atom

---

Computed, not measured: crystalline LiNiSeBr2 at its relaxed geometry at the PBE level of DFT.

Cell: 5.190 5.190 4.575 Å, 90.00 90.00 90.00°
Space group P4/mmm (No. 123)
Symmetry-distinct sites (fractional):
1 Li 0.000 0.000 0.000
2 Ni 0.500 0.500 0.500
3 Se 0.500 0.500 0.000
4 Br 0.000 0.500 0.500

Output
spin magnetization	0.291	μB per atom
electronic total energy	-16.12	eV per cell
energy above the lowest structure with this stoichiometry	0	meV per atom
formation energy from raw total energies	-0.320	eV per atom

---

Computed, not measured: crystalline ZrTe2Pd at its relaxed geometry at the PBE level of DFT.

Cell: 8.654 6.891 8.584 Å, 90.00 117.56 90.00°
Space group P2_1/c (No. 14)
Symmetry-distinct sites (fractional):
1 Zr 0.028 0.028 0.312
2 Te 0.221 0.240 0.655
3 Te 0.310 0.747 0.401
4 Pd 0.113 0.654 0.561

Output
spin magnetization	0.000	μB per atom
electronic total energy	-92.59	eV per cell
energy above the lowest structure with this stoichiometry	0	meV per atom
formation energy from raw total energies	-0.781	eV per atom